(1)
Compound: CaIrRh2S
Source: Alexandria via LeMat-Bulk
Functional: PBE-GGA
Structure: optimized geometry

abc: 4.6521 5.6403 4.6521
angles: 90.00 90.00 90.00
Sites, in units of the cell vectors:
Ir 0.0000 0.0000 0.0000
S 0.5000 0.5000 0.5000
Rh 0.5000 0.0000 0.0000
Ca 0.0000 0.5000 0.0000
Rh 0.0000 0.0000 0.5000

Computed properties:
Formation energy from raw total energies = 0.64 eV per atom


(2)
Compound: Ca2Sb2IrRh
Source: Alexandria via LeMat-Bulk
Functional: PBE-GGA
Structure: optimized geometry

abc: 6.1788 6.1912 8.4369
angles: 111.53 111.48 90.00
Sites, in units of the cell vectors:
Ir 0.0000 0.2500 0.0000
Ca 0.4042 0.1568 0.3137
Ir 0.0000 0.7500 0.0000
Sb 0.3626 0.6107 0.2214
Ca 0.0905 0.3432 0.6863
Sb 0.8588 0.1107 0.2214
Rh 0.5000 0.7500 0.0000
Rh 0.5000 0.2500 0.0000
Sb 0.6374 0.3893 0.7786
Ca 0.5958 0.8432 0.6863
Ca 0.9095 0.6568 0.3137
Sb 0.1412 0.8893 0.7786

Computed properties:
Formation energy from raw total energies = -0.68 eV per atom


(3)
Compound: Ca2Sb4IrRh3
Source: Alexandria via LeMat-Bulk
Functional: PBE-GGA
Structure: optimized geometry

abc: 4.4548 4.4548 10.9189
angles: 90.00 90.00 90.00
Sites, in units of the cell vectors:
Sb 0.5000 0.5000 0.0000
Sb 0.0000 0.0000 0.0000
Ir 0.5000 0.5000 0.5000
Rh 0.5000 0.0000 0.8694
Rh 0.0000 0.0000 0.5000
Sb 0.0000 0.5000 0.3670
Rh 0.0000 0.5000 0.1306
Sb 0.5000 0.0000 0.6330
Ca 0.0000 0.5000 0.7453
Ca 0.5000 0.0000 0.2547

Computed properties:
Formation energy from raw total energies = -0.62 eV per atom


(4)
Compound: Ca2Si4IrRh3
Source: Alexandria via LeMat-Bulk
Functional: PBE-GGA
Structure: optimized geometry

abc: 4.1418 4.1418 9.8770
angles: 90.00 90.00 90.00
Sites, in units of the cell vectors:
Rh 0.0000 0.5000 0.1268
Ca 0.5000 0.0000 0.2477
Si 0.5000 0.5000 0.0000
Ca 0.0000 0.5000 0.7523
Si 0.5000 0.0000 0.6265
Si 0.0000 0.5000 0.3735
Si 0.0000 0.0000 0.0000
Rh 0.0000 0.0000 0.5000
Rh 0.5000 0.0000 0.8732
Ir 0.5000 0.5000 0.5000

Computed properties:
Formation energy from raw total energies = -0.91 eV per atom


(5)
Compound: Ca2Si4Ir3Rh
Source: Alexandria via LeMat-Bulk
Functional: PBE-GGA
Structure: optimized geometry

abc: 4.1509 4.1509 9.8878
angles: 90.00 90.00 90.00
Sites, in units of the cell vectors:
Ir 0.0000 0.0000 0.5000
Ir 0.0000 0.5000 0.1281
Ir 0.5000 0.0000 0.8719
Ca 0.5000 0.0000 0.2477
Si 0.0000 0.0000 0.0000
Si 0.0000 0.5000 0.3737
Ca 0.0000 0.5000 0.7523
Si 0.5000 0.0000 0.6263
Si 0.5000 0.5000 0.0000
Rh 0.5000 0.5000 0.5000

Computed properties:
Formation energy from raw total energies = -0.91 eV per atom


(6)
Compound: CaSmIrRh
Source: Alexandria via LeMat-Bulk
Functional: PBE-GGA
Structure: optimized geometry

abc: 4.8871 4.8871 4.8871
angles: 60.00 60.00 60.00
Sites, in units of the cell vectors:
Ca 0.2500 0.2500 0.2500
Ir 0.0000 0.0000 0.0000
Rh 0.5000 0.5000 0.5000
Sm 0.7500 0.7500 0.7500

Computed properties:
ΔE_f = -46.5 kJ/mol of atoms


(7)
Compound: CaSn2IrRh
Source: Alexandria via LeMat-Bulk
Functional: PBE-GGA
Structure: optimized geometry

abc: 5.0305 5.0093 5.0305
angles: 90.00 90.00 90.00
Sites, in units of the cell vectors:
Sn 0.5000 0.0000 0.0000
Sn 0.0000 0.0000 0.5000
Rh 0.0000 0.0000 0.0000
Ir 0.0000 0.5000 0.0000
Ca 0.5000 0.5000 0.5000

Computed properties:
ΔE_f = 23.7 kJ/mol of atoms


(8)
Compound: CaTbIrRh
Source: Alexandria via LeMat-Bulk
Functional: PBE-GGA
Structure: optimized geometry

abc: 4.8396 4.8396 4.8396
angles: 60.00 60.00 60.00
Sites, in units of the cell vectors:
Rh 0.5000 0.5000 0.5000
Tb 0.2500 0.2500 0.2500
Ir 0.0000 0.0000 0.0000
Ca 0.7500 0.7500 0.7500

Computed properties:
ΔE_f = -52.6 kJ/mol of atoms


(9)
Compound: CaThIrRh
Source: Alexandria via LeMat-Bulk
Functional: PBE-GGA
Structure: optimized geometry

abc: 4.9421 4.9421 4.9421
angles: 60.00 60.00 60.00
Sites, in units of the cell vectors:
Ca 0.5000 0.5000 0.5000
Ir 0.7500 0.7500 0.7500
Rh 0.2500 0.2500 0.2500
Th 0.0000 0.0000 0.0000

Computed properties:
ΔE_f = -62.3 kJ/mol of atoms


(10)
Compound: CaTiIrRh
Source: Alexandria via LeMat-Bulk
Functional: PBE-GGA
Structure: optimized geometry

abc: 4.5743 4.5743 4.5743
angles: 60.00 60.00 60.00
Sites, in units of the cell vectors:
Rh 0.0000 0.0000 0.0000
Ir 0.5000 0.5000 0.5000
Ti 0.2500 0.2500 0.2500
Ca 0.7500 0.7500 0.7500

Computed properties:
ΔE_f = -42.2 kJ/mol of atoms


(11)
Compound: CaUIrRh
Source: Alexandria via LeMat-Bulk
Functional: PBE-GGA
Structure: optimized geometry

abc: 4.8196 4.8196 4.8196
angles: 60.00 60.00 60.00
Sites, in units of the cell vectors:
Ca 0.0000 0.0000 0.0000
Ir 0.7500 0.7500 0.7500
Rh 0.2500 0.2500 0.2500
U 0.5000 0.5000 0.5000

Computed properties:
ΔE_f = -34.6 kJ/mol of atoms


(12)
Compound: Ca2Zn5IrRh2
Source: Alexandria via LeMat-Bulk
Functional: PBE-GGA
Structure: optimized geometry

abc: 3.1665 10.5334 10.5334
angles: 90.00 90.00 90.00
Sites, in units of the cell vectors:
Ir 0.0000 0.0000 0.0000
Rh 0.0000 0.3680 0.1320
Ir 0.0000 0.5000 0.5000
Zn 0.5000 0.1880 0.0581
Zn 0.5000 0.5581 0.6880
Zn 0.5000 0.0000 0.5000
Ca 0.0000 0.8243 0.6757
Zn 0.5000 0.3120 0.5581
Ca 0.0000 0.3243 0.8243
Ca 0.0000 0.6757 0.1757
Rh 0.0000 0.1320 0.6320
Zn 0.5000 0.6880 0.4419
Zn 0.5000 0.0581 0.8120
Zn 0.5000 0.5000 0.0000
Zn 0.5000 0.4419 0.3120
Rh 0.0000 0.6320 0.8680
Zn 0.5000 0.8120 0.9419
Rh 0.0000 0.8680 0.3680
Ca 0.0000 0.1757 0.3243
Zn 0.5000 0.9419 0.1880

Computed properties:
ΔE_f = -32.3 kJ/mol of atoms


(13)
Compound: CaZrIrRh
Source: Alexandria via LeMat-Bulk
Functional: PBE-GGA
Structure: optimized geometry

abc: 4.7172 4.7172 4.7172
angles: 60.00 60.00 60.00
Sites, in units of the cell vectors:
Ir 0.0000 0.0000 0.0000
Rh 0.5000 0.5000 0.5000
Zr 0.7500 0.7500 0.7500
Ca 0.2500 0.2500 0.2500

Computed properties:
ΔE_f = -54.6 kJ/mol of atoms


(14)
Compound: Ca2IrRu
Source: Alexandria via LeMat-Bulk
Functional: PBE-GGA
Structure: optimized geometry

abc: 9.2176 9.2176 9.2176
angles: 19.74 19.74 19.74
Sites, in units of the cell vectors:
Ru 0.7500 0.7500 0.7500
Ir 0.2500 0.2500 0.2500
Ca 0.5000 0.5000 0.5000
Ca 0.0000 0.0000 0.0000

Computed properties:
ΔE_f = 34.2 kJ/mol of atoms


(15)
Compound: CaIrRu3
Source: Alexandria via LeMat-Bulk
Functional: PBE-GGA
Structure: optimized geometry

abc: 4.5060 4.5060 4.5060
angles: 90.00 90.00 90.00
Sites, in units of the cell vectors:
Ru 0.0000 0.5000 0.0000
Ca 0.0000 0.0000 0.0000
Ru 0.0000 0.0000 0.5000
Ir 0.5000 0.5000 0.5000
Ru 0.5000 0.0000 0.0000

Computed properties:
ΔE_f = 245.7 kJ/mol of atoms


(16)
Compound: CaIrRu2
Source: Alexandria via LeMat-Bulk
Functional: PBE-GGA
Structure: optimized geometry

abc: 7.5272 7.5272 5.9694
angles: 50.91 50.91 90.00
Sites, in units of the cell vectors:
Ir 0.7500 0.2500 0.5000
Ru 0.8750 0.9346 0.7500
Ir 0.0000 0.0000 0.0000
Ru 0.6846 0.1250 0.2500
Ru 0.3750 0.3154 0.7500
Ca 0.2500 0.7500 0.5000
Ru 0.0654 0.6250 0.2500
Ca 0.5000 0.5000 0.0000

Computed properties:
ΔE_f = 53.8 kJ/mol of atoms


(17)
Compound: CaIrRu
Source: Alexandria via LeMat-Bulk
Functional: PBE-GGA
Structure: optimized geometry

abc: 6.7418 6.7418 2.8834
angles: 77.65 77.65 24.70
Sites, in units of the cell vectors:
Ir 0.3140 0.3140 0.6860
Ru 0.6878 0.6878 0.3122
Ca 0.9982 0.9982 0.0018

Computed properties:
ΔE_f = 10.3 kJ/mol of atoms


(18)
Compound: CaIrRu
Source: Alexandria via LeMat-Bulk
Functional: PBE-GGA
Structure: optimized geometry

abc: 2.9161 2.9161 7.0839
angles: 90.00 90.00 120.00
Sites, in units of the cell vectors:
Ir 0.3333 0.6667 0.3547
Ca 0.0000 0.0000 0.0011
Ru 0.6667 0.3333 0.6442

Computed properties:
ΔE_f = 49.1 kJ/mol of atoms


(19)
Compound: CaIrRu
Source: Alexandria via LeMat-Bulk
Functional: PBE-GGA
Structure: optimized geometry

abc: 5.0861 5.0861 6.2220
angles: 81.91 129.49 113.22
Sites, in units of the cell vectors:
Ca 0.7479 0.3666 0.1145
Ir 0.5000 0.5000 0.5000
Ru 0.2390 0.0006 0.2396
Ca 0.2521 0.6334 0.8855
Ir 0.0000 0.0000 0.5000
Ru 0.7610 0.9994 0.7604

Computed properties:
ΔE_f = 12.5 kJ/mol of atoms


(20)
Compound: Ca2IrRu
Source: Alexandria via LeMat-Bulk
Functional: PBE-GGA
Structure: optimized geometry

abc: 5.1947 5.1947 3.0574
angles: 90.00 90.00 106.67
Sites, in units of the cell vectors:
Ru 0.0000 0.5000 0.5000
Ca 0.5000 0.5000 0.0000
Ca 0.0000 0.0000 0.0000
Ir 0.5000 0.0000 0.5000

Computed properties:
ΔE_f = 24.2 kJ/mol of atoms


(21)
Compound: CaIrRu2
Source: Alexandria via LeMat-Bulk
Functional: PBE-GGA
Structure: optimized geometry

abc: 4.9153 4.9153 5.1312
angles: 80.16 80.16 33.12
Sites, in units of the cell vectors:
Ru 0.0006 0.0006 0.9932
Ru 0.7342 0.7342 0.7992
Ca 0.5012 0.5012 0.4958
Ir 0.2640 0.2640 0.2118

Computed properties:
ΔE_f = 25.2 kJ/mol of atoms


(22)
Compound: Ca2IrRu
Source: Alexandria via LeMat-Bulk
Functional: PBE-GGA
Structure: optimized geometry

abc: 4.3411 4.5684 5.5085
angles: 65.56 90.00 90.00
Sites, in units of the cell vectors:
Ca 0.5000 0.2661 0.3423
Ru 0.5000 0.5780 0.7195
Ca 0.0000 0.9822 0.9111
Ir 0.0000 0.6737 0.5271

Computed properties:
ΔE_f = -6.9 kJ/mol of atoms


(23)
Compound: CaIrRu2
Source: Alexandria via LeMat-Bulk
Functional: PBE-GGA
Structure: optimized geometry

abc: 5.7067 5.7067 5.7067
angles: 151.19 131.72 57.20
Sites, in units of the cell vectors:
Ru 0.7811 0.2811 0.5000
Ca 0.4994 0.4994 0.0000
Ir 0.2217 0.7217 0.5000
Ru 0.9978 0.9978 0.0000

Computed properties:
ΔE_f = 26.9 kJ/mol of atoms


(24)
Compound: Ca2IrRu
Source: Alexandria via LeMat-Bulk
Functional: PBE-GGA
Structure: optimized geometry

abc: 3.0536 3.7801 8.3355
angles: 90.00 90.00 90.00
Sites, in units of the cell vectors:
Ca 0.5000 0.5000 0.3306
Ca 0.0000 0.0000 0.9227
Ru 0.5000 0.5000 0.6770
Ir 0.0000 0.0000 0.5696

Computed properties:
ΔE_f = 11.1 kJ/mol of atoms


(25)
Compound: CaIrRu2
Source: Alexandria via LeMat-Bulk
Functional: PBE-GGA
Structure: optimized geometry

abc: 9.5188 9.5188 9.5188
angles: 17.09 17.09 17.09
Sites, in units of the cell vectors:
Ca 0.2500 0.2500 0.2500
Ru 0.4930 0.4930 0.4930
Ir 0.7500 0.7500 0.7500
Ru 0.0070 0.0070 0.0070

Computed properties:
ΔE_f = 50.1 kJ/mol of atoms


(26)
Compound: CaIrRu2
Source: Alexandria via LeMat-Bulk
Functional: PBE-GGA
Structure: optimized geometry

abc: 5.8017 5.8017 5.8017
angles: 151.79 132.62 56.06
Sites, in units of the cell vectors:
Ir 0.2500 0.7500 0.5000
Ca 0.7500 0.2500 0.5000
Ru 0.0322 0.0322 0.0000
Ru 0.4678 0.4678 0.0000

Computed properties:
ΔE_f = 23.9 kJ/mol of atoms


(27)
Compound: CaIrRu2
Source: Alexandria via LeMat-Bulk
Functional: PBE-GGA
Structure: optimized geometry

abc: 4.3960 2.8086 5.5975
angles: 75.34 90.00 90.00
Sites, in units of the cell vectors:
Ir 0.5000 0.9290 0.7685
Ca 0.0000 0.5519 0.5238
Ru 0.5000 0.2182 0.1871
Ru 0.0000 0.8009 0.0207

Computed properties:
ΔE_f = 22.5 kJ/mol of atoms


(28)
Compound: CaIrRu
Source: Alexandria via LeMat-Bulk
Functional: PBE-GGA
Structure: optimized geometry

abc: 5.7146 5.7146 5.7146
angles: 150.96 140.10 50.10
Sites, in units of the cell vectors:
Ru 0.7108 0.7108 0.0000
Ir 0.2913 0.2913 0.0000
Ca 0.9979 0.9979 0.0000

Computed properties:
ΔE_f = 6.3 kJ/mol of atoms